# 1
VASP calculation (GGA-PBE) on a relaxed structure of Ac6As2Ir3Cl.

```
Ac6As2Ir3Cl
1.0
-2.5819 1.8996 3.0063
-6.6567 0.5516 -6.0653
0.0927 -9.5451 2.8989
Ac As Ir Cl
6 2 3 1
direct
0.3260 0.9302 0.6519
0.6633 0.5867 0.3267
0.6740 0.0698 0.3481
0.9942 0.2717 0.9884
0.0058 0.7283 0.0116
0.3367 0.4133 0.6733
0.8372 0.6797 0.6744
0.1628 0.3203 0.3256
0.5000 0.5000 0.0000
0.8353 0.1698 0.6706
0.1647 0.8302 0.3294
0.5000 0.0000 0.0000
```

Output
Total energy in eV per cell: -75.1
Raw formation energy in eV/atom: -1.059

# 2
VASP calculation (GGA-PBE) on a relaxed structure of SrCeTcN4.

```
SrCeTcN4
1.0
-6.0202 0.2152 -0.5888
-0.5469 -4.0148 4.1239
1.7002 4.8234 4.9213
Sr Ce Tc N
2 2 2 8
direct
0.7135 0.7500 0.9241
0.2865 0.2500 0.0759
0.7893 0.7500 0.4467
0.2107 0.2500 0.5533
0.2506 0.7500 0.3193
0.7494 0.2500 0.6807
0.9529 0.4958 0.7130
0.0471 0.9958 0.2870
0.0471 0.5042 0.2870
0.9529 0.0042 0.7130
0.4438 0.7500 0.1615
0.5562 0.2500 0.8385
0.4380 0.7500 0.5668
0.5620 0.2500 0.4332
```

Output
Total energy in eV per cell: -113.0
Raw formation energy in eV/atom: -0.742

# 3
VASP calculation (GGA-PBE) on a relaxed structure of Th2Te2N.

```
Th2Te2N
1.0
0.0389 -5.3027 -3.0053
7.0982 -3.3278 -0.2174
2.4756 -5.9886 4.4175
Th Te N
4 4 2
direct
0.0976 0.5890 0.2158
0.9024 0.4110 0.7842
0.4024 0.7842 0.4110
0.5976 0.2158 0.5890
0.3546 0.3019 0.9888
0.6454 0.6981 0.0112
0.1454 0.0112 0.6981
0.8546 0.9888 0.3019
0.2500 0.5000 0.5000
0.7500 0.5000 0.5000
```

Output
Total energy in eV per cell: -73.5
Raw formation energy in eV/atom: -1.462

no.,DOS(E_F) (states/eV per cell),calculated volume (A^3/atom)
1,4.46,31.0
2,10.60,17.0
3,4.73,27.1